Entry 1:
Ce2YScBi4 after structural relaxation. Source: Alexandria via LeMat-Bulk, functional GGA-PBE.

Calculated values
SG: P2/m
Energy in eV/cell: -46.39

a b c (Å): 4.496 7.764 7.787
angles (deg): 70.46 90.00 90.00
Site moments in Bohr magnetons follow the coordinates.
Atoms (fractional coordinates):
1 Ce 0.500 0.000 0.500  0.85
2 Bi 0.500 0.739 0.247  -0.03
3 Sc 0.500 0.500 0.000  0.00
4 Y 0.000 0.500 0.500  -0.01
5 Bi 0.000 0.734 0.762  -0.03
6 Bi 0.500 0.261 0.753  -0.03
7 Bi 0.000 0.266 0.238  -0.03
8 Ce 0.000 0.000 0.000  0.78

Entry 2:
CeY2ScBi4 after structural relaxation. Source: Alexandria via LeMat-Bulk, functional GGA-PBE.

Calculated values
SG: P2/m
Energy in eV/cell: -47.07

a b c (Å): 4.470 7.717 7.739
angles (deg): 109.46 90.00 90.00
Site moments in Bohr magnetons follow the coordinates.
Atoms (fractional coordinates):
1 Sc 0.500 0.500 0.000  0.00
2 Bi 0.500 0.741 0.751  -0.02
3 Ce 0.000 0.000 0.000  0.74
4 Bi 0.000 0.262 0.758  -0.01
5 Y 0.500 0.000 0.500  0.00
6 Bi 0.500 0.259 0.249  -0.02
7 Bi 0.000 0.738 0.242  -0.01
8 Y 0.000 0.500 0.500  -0.01

Entry 3:
Ce6Bi5Se after structural relaxation. Source: Alexandria via LeMat-Bulk, functional GGA-PBE.

Calculated values
ΔE_f (raw) in kcal/mol of atoms: -21.73
SG: C2/m

a b c (Å): 7.848 7.879 7.874
angles (deg): 59.98 80.35 70.42
Site moments in Bohr magnetons follow the coordinates.
Atoms (fractional coordinates):
1 Bi 0.500 0.500 0.000  -0.04
2 Ce 0.753 0.762 0.000  0.90
3 Bi 0.000 0.665 0.669  -0.04
4 Ce 0.241 0.599 0.321  0.88
5 Ce 0.241 0.920 0.679  0.88
6 Bi 0.000 0.335 0.331  -0.04
7 Ce 0.759 0.080 0.321  0.88
8 Ce 0.759 0.401 0.679  0.88
9 Bi 0.500 0.827 0.345  -0.04
10 Bi 0.500 0.173 0.655  -0.04
11 Se 0.000 0.000 0.000  -0.03
12 Ce 0.247 0.238 0.000  0.90

| no. | DOS at the Fermi energy (states/eV per cell) | size of the total moment (μB/f.u.) |
| --- | --- | --- |
| 1 | 14.75 | 1.7 |
| 2 | 7.17 | 0.8 |
| 3 | 39.65 | 5.9 |